The following is a PBE-GGA calculation of a geometry-optimized NdHf2O structure, from Alexandria.

Output
Formation energy without anion corrections ... -847 meV/atom
Magnetic moment ... 0.000 μB/f.u.
Crystal system ... trigonal
Space-group type ... R-3m, No. 166
Total DFT energy (no corrections) ... -8.255 eV per atom

```
NdHf2O
1.0
-1.406 -1.601 -2.553
-0.830 -3.206 0.302
-8.614 0.707 2.134
Nd Hf O
1 2 1
direct
0.000 0.000 0.000
0.878 0.878 0.365
0.122 0.122 0.635
0.500 0.500 0.500
```